1.
This record from OQMD via LeMat-Bulk describes Y4CdGaC2 after structural relaxation. The functional is PBE.

Properties
Size of the total moment: 0.9 μB per formula unit
Space-group type: P-6m2 (187)
Calculated density: 5.24 g cm⁻³

Unit cell a=3.6071 b=3.6071 c=15.7880 alpha=90.00 beta=90.00 gamma=120.00
Last column: nearest neighbours and their distance in Å.
Sites, in units of the cell vectors:
1 C 0.6667 0.3333 0.2550  6 Y 2.45-2.53
2 C 0.6667 0.3333 0.7450  6 Y 2.45-2.53
3 Cd 0.0000 0.0000 0.0000  6 Y 3.45, 6 Cd 3.61
4 Ga 0.3333 0.6667 0.5000  6 Y 3.20
5 Y 0.3333 0.6667 0.1739  3 C 2.45
6 Y 0.0000 0.0000 0.3463  3 C 2.53
7 Y 0.0000 0.0000 0.6537  3 C 2.53
8 Y 0.3333 0.6667 0.8261  3 C 2.45



2.
This record from OQMD via LeMat-Bulk describes PmFeBi after structural relaxation. The functional is PBE.

Properties
Size of the total moment: 2.3 μB per formula unit
Space-group type: F-43m (216)
Calculated density: 8.17 g cm⁻³
Energy relative to the lowest polymorph listed for this composition: 0 meV/atom

Unit cell a=4.9024 b=4.9024 c=4.9024 alpha=60.00 beta=60.00 gamma=60.00
Last column: nearest neighbours and their distance in Å.
Sites, in units of the cell vectors:
1 Bi 0.0000 0.0000 0.0000  4 Pm 3.00, 4 Fe 3.00
2 Fe 0.2500 0.2500 0.2500  4 Bi 3.00
3 Pm 0.7500 0.7500 0.7500  4 Bi 3.00



3.
This record from OQMD via LeMat-Bulk describes Rb2PtSO after structural relaxation. The functional is PBE.

Properties
Size of the total moment: 0.0 μB per formula unit
Space-group type: Imm2 (44)
Calculated density: 6.03 g cm⁻³

Unit cell a=6.1762 b=6.1762 c=6.1762 alpha=147.63 beta=76.55 gamma=112.83
Last column: nearest neighbours and their distance in Å.
Sites, in units of the cell vectors:
1 O 0.7699 0.2699 0.5000  2 Pt 2.19
2 Pt 0.9681 0.9681 0.0000  2 O 2.19, 2 S 2.30
3 Rb 0.7147 0.5354 0.1793  2 O 2.92
4 Rb 0.3562 0.5354 0.8207  2 O 2.92
5 S 0.1911 0.6911 0.5000  2 Pt 2.30



4.
This record from OQMD via LeMat-Bulk describes Dy4Co2SnGe4 after structural relaxation. The functional is PBE.

Properties
Size of the total moment: 0.3 μB per formula unit
Space-group type: C2/m (12)
Calculated density: 8.92 g cm⁻³

Unit cell a=8.0086 b=8.0086 c=7.0332 alpha=107.42 beta=107.42 gamma=30.74
Last column: nearest neighbours and their distance in Å.
Sites, in units of the cell vectors:
1 Ge 0.7908 0.7908 0.7263  3 Co 2.39-2.43
2 Sn 0.0000 0.0000 0.0000  4 Ge 2.93-3.21
3 Co 0.7797 0.7797 0.3734  4 Ge 2.39-2.43
4 Co 0.2203 0.2203 0.6266  4 Ge 2.39-2.43
5 Dy 0.3454 0.3454 0.0576  5 Ge 2.94-3.07, 1 Co 3.05
6 Dy 0.5884 0.5884 0.3838  6 Ge 2.94-3.18, 3 Co 2.98-3.07
7 Dy 0.4116 0.4116 0.6162  6 Ge 2.94-3.18, 3 Co 2.98-3.07
8 Dy 0.6546 0.6546 0.9424  5 Ge 2.94-3.07, 1 Co 3.05
9 Ge 0.2092 0.2092 0.2737  3 Co 2.39-2.43
10 Ge 0.9302 0.9302 0.3432  1 Co 2.40, 1 Ge 2.56
11 Ge 0.0698 0.0698 0.6568  1 Co 2.40, 1 Ge 2.56



5.
This record from OQMD via LeMat-Bulk describes ErZrAg after structural relaxation. The functional is PBE.

Properties
ΔE_f: 885 meV per atom
Size of the total moment: 0.3 μB per formula unit
Space-group type: F-43m (216)
Calculated density: 7.95 g cm⁻³

Unit cell a=4.7646 b=4.7646 c=4.7646 alpha=60.00 beta=60.00 gamma=60.00
Last column: nearest neighbours and their distance in Å.
Sites, in units of the cell vectors:
1 Ag 0.2500 0.2500 0.2500  4 Er 2.92
2 Er 0.0000 0.0000 0.0000  4 Zr 2.92, 4 Ag 2.92
3 Zr 0.7500 0.7500 0.7500  4 Er 2.92



6.
This record from OQMD via LeMat-Bulk describes BaPmBe after structural relaxation. The functional is PBE.

Properties
Size of the total moment: 0.1 μB per formula unit
Space-group type: F-43m (216)
Calculated density: 4.76 g cm⁻³
Energy relative to the lowest polymorph listed for this composition: 0 meV/atom

Unit cell a=5.2390 b=5.2390 c=5.2390 alpha=60.00 beta=60.00 gamma=60.00
Last column: nearest neighbours and their distance in Å.
Sites, in units of the cell vectors:
1 Ba 0.2500 0.2500 0.2500  4 Be 3.21
2 Be 0.0000 0.0000 0.0000  4 Pm 3.21, 4 Ba 3.21
3 Pm 0.7500 0.7500 0.7500  4 Be 3.21



7.
This record from OQMD via LeMat-Bulk describes SrCd after structural relaxation. The functional is PBE.

Properties
Space-group type: Pm-3m (221)
Calculated density: 5.12 g cm⁻³

Unit cell a=4.0188 b=4.0188 c=4.0188 alpha=90.00 beta=90.00 gamma=90.00
Last column: nearest neighbours and their distance in Å.
Sites, in units of the cell vectors:
1 Cd 0.0000 0.0000 0.0000  8 Sr 3.48
2 Sr 0.5000 0.5000 0.5000  8 Cd 3.48



8.
This record from OQMD via LeMat-Bulk describes BeCo2Si after structural relaxation. The functional is PBE.

Properties
Size of the total moment: 0.8 μB per formula unit
Space-group type: Pnma (62)
Calculated density: 6.38 g cm⁻³
Energy relative to the lowest polymorph listed for this composition: 255 meV/atom

Unit cell a=5.1510 b=7.0602 c=4.4341 alpha=90.00 beta=90.00 gamma=90.00
Last column: nearest neighbours and their distance in Å.
Sites, in units of the cell vectors:
1 Be 0.3657 0.2500 0.0823  6 Co 2.31-2.32, 3 Si 2.42-2.55, 2 Be 2.52
2 Be 0.8657 0.7500 0.4177  6 Co 2.31-2.32, 3 Si 2.42-2.55, 2 Be 2.52
3 Be 0.1343 0.2500 0.5823  6 Co 2.31-2.32, 3 Si 2.42-2.55, 2 Be 2.52
4 Be 0.6343 0.7500 0.9177  6 Co 2.31-2.32, 3 Si 2.42-2.55, 2 Be 2.52
5 Co 0.6268 0.0052 0.2474  3 Si 2.28-2.33, 3 Be 2.31-2.32
6 Co 0.6268 0.4948 0.2474  3 Si 2.28-2.33, 3 Be 2.31-2.32
7 Co 0.1268 0.5052 0.2526  3 Si 2.28-2.33, 3 Be 2.31-2.32
8 Co 0.1268 0.9948 0.2526  3 Si 2.28-2.33, 3 Be 2.31-2.32
9 Co 0.8732 0.0052 0.7474  3 Si 2.28-2.33, 3 Be 2.31-2.32
10 Co 0.8732 0.4948 0.7474  3 Si 2.28-2.33, 3 Be 2.31-2.32
11 Co 0.3732 0.5052 0.7526  3 Si 2.28-2.33, 3 Be 2.31-2.32
12 Co 0.3732 0.9948 0.7526  3 Si 2.28-2.33, 3 Be 2.31-2.32
13 Si 0.8963 0.2500 0.0878  6 Co 2.28-2.33, 2 Be 2.42-2.51
14 Si 0.3963 0.7500 0.4122  6 Co 2.28-2.33, 2 Be 2.42-2.51
15 Si 0.6037 0.2500 0.5878  6 Co 2.28-2.33, 2 Be 2.42-2.51
16 Si 0.1037 0.7500 0.9122  6 Co 2.28-2.33, 2 Be 2.42-2.51



9.
This record from OQMD via LeMat-Bulk describes Sc2AuSe4 after structural relaxation. The functional is PBE.

Properties
Size of the total moment: 0.0 μB per formula unit
Space-group type: Fd-3m (227)
Calculated density: 5.77 g cm⁻³

Unit cell a=7.8857 b=7.8857 c=7.8857 alpha=60.00 beta=60.00 gamma=60.00
Last column: nearest neighbours and their distance in Å.
Sites, in units of the cell vectors:
1 Au 0.5000 0.5000 0.5000  4 Se 2.57
2 Au 0.7500 0.7500 0.7500  4 Se 2.57
3 Sc 0.1250 0.1250 0.1250  6 Se 2.70
4 Sc 0.6250 0.1250 0.1250  6 Se 2.70
5 Sc 0.1250 0.6250 0.1250  6 Se 2.70
6 Sc 0.1250 0.1250 0.6250  6 Se 2.70
7 Se 0.8831 0.8831 0.3506  1 Au 2.57, 3 Sc 2.70
8 Se 0.8994 0.3669 0.3669  1 Au 2.57, 3 Sc 2.70
9 Se 0.3669 0.8994 0.3669  1 Au 2.57, 3 Sc 2.70
10 Se 0.3669 0.3669 0.3669  1 Au 2.57, 3 Sc 2.70
11 Se 0.3506 0.8831 0.8831  1 Au 2.57, 3 Sc 2.70
12 Se 0.8831 0.3506 0.8831  1 Au 2.57, 3 Sc 2.70
13 Se 0.8831 0.8831 0.8831  1 Au 2.57, 3 Sc 2.70
14 Se 0.3669 0.3669 0.8994  1 Au 2.57, 3 Sc 2.70



10.
This record from OQMD via LeMat-Bulk describes Li2Mg2In2NiAu after structural relaxation. The functional is PBE.

Properties
Size of the total moment: 0.0 μB per formula unit
Space-group type: P-4m2 (115)
Calculated density: 6.73 g cm⁻³

Unit cell a=4.5467 b=4.5467 c=6.5390 alpha=90.00 beta=90.00 gamma=90.00
Last column: nearest neighbours and their distance in Å.
Sites, in units of the cell vectors:
1 Au 0.0000 0.0000 0.0000  4 Mg 2.84, 4 In 2.89
2 In 0.0000 0.5000 0.2720  4 Li 2.72-2.89, 2 Ni 2.72, 2 Au 2.89
3 In 0.5000 0.0000 0.7280  2 Ni 2.72, 4 Li 2.72-2.89, 2 Au 2.89
4 Li 0.5000 0.5000 0.0000  4 Mg 2.84, 4 In 2.89
5 Li 0.0000 0.0000 0.5000  4 In 2.72, 4 Mg 2.77
6 Mg 0.5000 0.0000 0.2592  2 Ni 2.77, 4 Li 2.77-2.84, 2 Au 2.84, 1 In 3.07
7 Mg 0.0000 0.5000 0.7408  4 Li 2.77-2.84, 2 Ni 2.77, 2 Au 2.84, 1 In 3.07
8 Ni 0.5000 0.5000 0.5000  4 In 2.72, 4 Mg 2.77



11.
This record from OQMD via LeMat-Bulk describes TaTlPd2 after structural relaxation. The functional is PBE.

Properties
Size of the total moment: 0.0 μB per formula unit
Space-group type: F-43m (216)
Calculated density: 14.25 g cm⁻³

Unit cell a=4.6196 b=4.6196 c=4.6196 alpha=60.00 beta=60.00 gamma=60.00
Last column: nearest neighbours and their distance in Å.
Sites, in units of the cell vectors:
1 Pd 0.0000 0.0000 0.0000  4 Pd 2.83, 4 Ta 2.83
2 Pd 0.7500 0.7500 0.7500  4 Pd 2.83, 4 Tl 2.83
3 Ta 0.2500 0.2500 0.2500  4 Tl 2.83, 4 Pd 2.83
4 Tl 0.5000 0.5000 0.5000  4 Ta 2.83, 4 Pd 2.83



12.
This record from OQMD via LeMat-Bulk describes PaAsPb after structural relaxation. The functional is PBE.

Properties
Size of the total moment: 1.9 μB per formula unit
Space-group type: F-43m (216)
Calculated density: 9.36 g cm⁻³

Unit cell a=5.0496 b=5.0496 c=5.0496 alpha=60.00 beta=60.00 gamma=60.00
Last column: nearest neighbours and their distance in Å.
Sites, in units of the cell vectors:
1 As 0.0000 0.0000 0.0000  4 Pb 3.09
2 Pa 0.5000 0.5000 0.5000  4 Pb 3.09
3 Pb 0.7500 0.7500 0.7500  4 As 3.09, 4 Pa 3.09



| no. | energy (eV/atom) |
| --- | --- |
| 1 | -6.364 |
| 2 | -5.533 |
| 3 | -4.313 |
| 4 | -5.742 |
| 5 | -4.426 |
| 6 | -2.880 |
| 7 | -1.628 |
| 8 | -6.187 |
| 9 | -5.418 |
| 10 | -3.016 |
| 11 | -6.053 |
| 12 | -5.380 |